This record from Alexandria describes crystalline PuThOs at its relaxed geometry. The functional is GGA-PBE.

The space group is Imm2 (No. 44) and the conventional cell measures 4.5448, 15.2376 and 6.9717 Å, with angles of 90.00, 90.00 and 90.00 degrees. Symmetry generates all atoms from Pu at (0.0000, 0.0000, 0.0000), Pu at (0.0000, 0.3266, 0.3208), Th at (0.0000, 0.0000, 0.5026), Th at (0.0000, 0.3478, 0.8243), Os at (0.0000, 0.1802, 0.0805) and Os at (0.0000, 0.5000, 0.2250).

The energy relative to the elements comes out at 31 meV/atom. The value obtained for the magnetic moment is 1.742 μB per atom. The offset from the most stable computed form is 191.4 meV/atom. As for the total energy: -0.4029 Ha/atom.

This record from Alexandria describes crystalline SmInAgPd at its relaxed geometry. The functional is GGA-PBE.

The space group is F-43m (No. 216) and the conventional cell measures 6.9926, 6.9926 and 6.9926 Å, with angles of 90.00, 90.00 and 90.00 degrees. Symmetry generates all atoms from Sm at (0.0000, 0.0000, 0.0000), In at (0.0000, 0.0000, 0.5000), Ag at (0.2500, 0.2500, 0.7500) and Pd at (0.2500, 0.2500, 0.2500).

The energy relative to the elements comes out at -530 meV/atom. The value obtained for the magnetic moment is 0.000 μB per atom. As for the total energy: -0.1619 Ha/atom.

This record from Alexandria describes crystalline CuOsRh2 at its relaxed geometry. The functional is GGA-PBE.

The space group is Pmmm (No. 47) and the conventional cell measures 2.7277, 3.7644 and 5.3552 Å, with angles of 90.00, 90.00 and 90.00 degrees. Symmetry generates all atoms from Cu at (0.0000, 0.0000, 0.0000), Os at (0.0000, 0.0000, 0.5000) and Rh at (0.5000, 0.5000, 0.2502).

The energy relative to the elements comes out at 70 meV/atom. The value obtained for the magnetic moment is 0.000 μB per atom. The offset from the most stable computed form is 47.5 meV/atom. As for the total energy: -0.2733 Ha/atom.

This record from Alexandria describes crystalline AcPuTh2Bi4 at its relaxed geometry. The functional is GGA-PBE.

The space group is P2/m (No. 10) and the conventional cell measures 8.0525, 4.6595 and 8.1078 Å, with angles of 90.00, 109.44 and 90.00 degrees. Symmetry generates all atoms from Ac at (0.0000, 0.0000, 0.0000), Pu at (0.5000, 0.5000, 0.0000), Th at (0.0000, 0.5000, 0.5000), Th at (0.5000, 0.0000, 0.5000), Bi at (0.2554, 0.0000, 0.7453) and Bi at (0.2603, 0.5000, 0.2605).

The energy relative to the elements comes out at -635 meV/atom. The value obtained for the magnetic moment is 0.734 μB per atom. As for the total energy: -0.2475 Ha/atom.

This record from Alexandria describes crystalline SrLiMn2 at its relaxed geometry. The functional is GGA-PBE.

The space group is C2/m (No. 12) and the conventional cell measures 11.1166, 3.5202 and 4.9119 Å, with angles of 90.00, 115.93 and 90.00 degrees. Symmetry generates all atoms from Sr at (0.0000, 0.0000, 0.0000), Li at (0.0000, 0.5000, 0.5000) and Mn at (0.2273, 0.0000, 0.7265).

The energy relative to the elements comes out at 669 meV/atom. The value obtained for the magnetic moment is 1.867 μB per atom. The offset from the most stable computed form is 301.3 meV/atom. As for the total energy: -0.1769 Ha/atom.

This record from Alexandria describes crystalline Ce2SmTh3S6 at its relaxed geometry. The functional is GGA-PBE.

The space group is C2/m (No. 12) and the conventional cell measures 6.9569, 12.0511 and 7.0017 Å, with angles of 90.00, 109.34 and 90.00 degrees. Symmetry generates all atoms from Ce at (0.0000, 0.1667, 0.0000), Sm at (0.0000, 0.5000, 0.0000), Th at (0.0000, 0.0000, 0.5000), Th at (0.0000, 0.3336, 0.5000), S at (0.2481, 0.3338, 0.2457) and S at (0.2495, 0.0000, 0.2460).

The value obtained for the magnetic moment is 0.049 μB per atom. As for the total energy: -0.2663 Ha/atom.

This record from Alexandria describes crystalline LiAl2In2 at its relaxed geometry. The functional is GGA-PBE.

The space group is I4/mmm (No. 139) and the conventional cell measures 4.2913, 4.2913 and 12.5680 Å, with angles of 90.00, 90.00 and 90.00 degrees. Symmetry generates all atoms from Li at (0.0000, 0.0000, 0.0000), Al at (0.0000, 0.5000, 0.2500) and In at (0.0000, 0.0000, 0.3906).

The energy relative to the elements comes out at 71 meV/atom. The value obtained for the magnetic moment is 0.000 μB per atom. The offset from the most stable computed form is 0.0 meV/atom. As for the total energy: -0.1067 Ha/atom.

This record from Alexandria describes crystalline Sr2Cd4GaHg3 at its relaxed geometry. The functional is GGA-PBE.

The space group is P-4m2 (No. 115) and the conventional cell measures 4.6190, 4.6190 and 12.6497 Å, with angles of 90.00, 90.00 and 90.00 degrees. Symmetry generates all atoms from Sr at (0.0000, 0.5000, 0.2459), Cd at (0.0000, 0.0000, 0.5000), Cd at (0.0000, 0.5000, 0.8680), Cd at (0.5000, 0.5000, 0.5000), Ga at (0.5000, 0.5000, 0.0000), Hg at (0.0000, 0.0000, 0.0000) and Hg at (0.0000, 0.5000, 0.6455).

The energy relative to the elements comes out at -287 meV/atom. The value obtained for the magnetic moment is 0.000 μB per atom. As for the total energy: -0.0508 Ha/atom.

This record from Alexandria describes crystalline FeTcPb2 at its relaxed geometry. The functional is GGA-PBE.

The space group is R3m (No. 160, hexagonal axes) and the conventional cell measures 3.3704, 3.3704 and 28.1243 Å, with angles of 90.00, 90.00 and 120.00 degrees. Symmetry generates all atoms from Fe at (0.0000, 0.0000, 0.0000), Tc at (0.0000, 0.0000, 0.7063), Pb at (0.0000, 0.0000, 0.2495) and Pb at (0.0000, 0.0000, 0.4618).

The energy relative to the elements comes out at 587 meV/atom. The value obtained for the magnetic moment is 0.000 μB per atom. The offset from the most stable computed form is 238.7 meV/atom. As for the total energy: -0.2196 Ha/atom.

This record from Alexandria describes crystalline Li2PCl at its relaxed geometry. The functional is GGA-PBE.

The space group is P4/mmm (No. 123) and the conventional cell measures 4.8698, 4.8698 and 2.7452 Å, with angles of 90.00, 90.00 and 90.00 degrees. Symmetry generates all atoms from Li at (0.0000, 0.5000, 0.0000), P at (0.0000, 0.0000, 0.5000) and Cl at (0.5000, 0.5000, 0.5000).

The value obtained for the magnetic moment is 0.017 μB per atom. The offset from the most stable computed form is 246.3 meV/atom. As for the total energy: -0.1238 Ha/atom.

This record from Alexandria describes crystalline CoReSb2 at its relaxed geometry. The functional is GGA-PBE.

The space group is R3m (No. 160, hexagonal axes) and the conventional cell measures 3.0772, 3.0772 and 30.7876 Å, with angles of 90.00, 90.00 and 120.00 degrees. Symmetry generates all atoms from Co at (0.0000, 0.0000, 0.0000), Re at (0.0000, 0.0000, 0.2705), Sb at (0.0000, 0.0000, 0.5348) and Sb at (0.0000, 0.0000, 0.7297).

The value obtained for the magnetic moment is 0.310 μB per atom. The offset from the most stable computed form is 215.2 meV/atom. As for the total energy: -0.2379 Ha/atom.

This record from Alexandria describes crystalline ScNb2CrSn at its relaxed geometry. The functional is GGA-PBE.

The space group is P4/mmm (No. 123) and the conventional cell measures 4.6779, 4.6779 and 5.1656 Å, with angles of 90.00, 90.00 and 90.00 degrees. Symmetry generates all atoms from Sc at (0.0000, 0.0000, 0.0000), Nb at (0.0000, 0.5000, 0.0000), Cr at (0.5000, 0.5000, 0.5000) and Sn at (0.0000, 0.0000, 0.5000).

The energy relative to the elements comes out at 1839 meV/atom. The value obtained for the magnetic moment is 0.026 μB per atom. As for the total energy: -0.2271 Ha/atom.

These records have density values of 13.75; 9.31; 13.88; 10.25; 3.93; 7.91; 4.17; 7.98; 10.23; 2.05; 9.64; 5.90 Mg/m³, in the order they appear.